[1]
# Pu3InGe2

A relaxed structure of Pu3InGe2 (PBE, the Alexandria database).

**Total moment**: 2.72 μB per atom

a = 3.924 Å, b = 3.924 Å, c = 9.021 Å
α = 90.00°, β = 90.00°, γ = 90.00°
Each line ends with the local moment (μB).
Element x y z (fractional)
Pu  0.000  0.000  0.000  5.25
Pu  0.000  0.000  0.690  5.40
Pu  0.000  0.000  0.310  5.40
In  0.500  0.500  0.500  0.00
Ge  0.500  0.500  0.843  -0.13
Ge  0.500  0.500  0.157  -0.13

---

[2]
# Pu2InGe3Rh4

A relaxed structure of Pu2InGe3Rh4 (PBE, the Alexandria database).

**Total moment**: 1.06 μB per atom

a = 4.166 Å, b = 4.166 Å, c = 10.866 Å
α = 90.00°, β = 90.00°, γ = 90.00°
Each line ends with the local moment (μB).
Element x y z (fractional)
Pu  0.500  0.000  0.244  5.19
Pu  0.000  0.500  0.756  5.19
In  0.500  0.500  0.500  0.01
Ge  0.000  0.000  0.500  -0.01
Ge  0.500  0.000  0.876  -0.02
Ge  0.000  0.500  0.124  -0.02
Rh  0.500  0.500  0.000  -0.01
Rh  0.000  0.000  0.000  -0.01
Rh  0.500  0.000  0.652  -0.11
Rh  0.000  0.500  0.348  -0.11

---

[3]
# PuInGeRh

A relaxed structure of PuInGeRh (PBE, the Alexandria database).

**Total moment**: 1.25 μB per atom

a = 4.828 Å, b = 4.828 Å, c = 4.828 Å
α = 60.00°, β = 60.00°, γ = 60.00°
Each line ends with the local moment (μB).
Element x y z (fractional)
Ge  0.000  0.000  0.000  0.00
In  0.750  0.750  0.750  0.00
Rh  0.500  0.500  0.500  -0.29
Pu  0.250  0.250  0.250  5.08

---

[4]
# Pu2InGe2Rh5

A relaxed structure of Pu2InGe2Rh5 (PBE, the Alexandria database).

**Total moment**: 1.04 μB per atom

a = 3.625 Å, b = 9.905 Å, c = 9.905 Å
α = 90.00°, β = 90.00°, γ = 90.00°
Each line ends with the local moment (μB).
Element x y z (fractional)
Pu  0.000  0.675  0.175  5.13
Pu  0.000  0.325  0.825  5.13
Pu  0.000  0.175  0.325  5.13
Pu  0.000  0.825  0.675  5.13
In  0.000  0.000  0.000  -0.01
In  0.000  0.500  0.500  -0.01
Ge  0.000  0.123  0.623  0.01
Ge  0.000  0.877  0.377  0.01
Ge  0.000  0.623  0.877  0.01
Ge  0.000  0.377  0.123  0.01
Rh  0.500  0.211  0.068  -0.06
Rh  0.500  0.789  0.932  -0.06
Rh  0.500  0.068  0.789  -0.06
Rh  0.500  0.711  0.432  -0.06
Rh  0.500  0.932  0.211  -0.06
Rh  0.500  0.289  0.568  -0.06
Rh  0.500  0.568  0.711  -0.06
Rh  0.500  0.432  0.289  -0.06
Rh  0.500  0.500  0.000  -0.07
Rh  0.500  0.000  0.500  -0.07

---

The records above yield formation energy from the elements values of -338; -576; -261; -547 meV per atom, respectively.